# 1
Computed, not measured: a crystal of HgP2PtCl relaxed with PBEsol at the SCAN level of DFT.

Unit cell a=4.6184 b=4.6184 c=4.9984 alpha=90.00 beta=90.00 gamma=90.00
Element x y z (fractional)
Hg  0.5000  0.5000  0.5000
Pt  0.0000  0.0000  0.0000
P  0.5000  0.0000  0.0000
P  0.0000  0.5000  0.0000
Cl  0.0000  0.0000  0.5000

SG: P4/mmm
Raw formation energy in eV per atom: 0.49

# 2
Computed, not measured: a crystal of InNi2C relaxed with PBEsol at the SCAN level of DFT.

Unit cell a=4.0549 b=4.0549 c=4.0549 alpha=60.00 beta=60.00 gamma=60.00
Element x y z (fractional)
C  0.0000  0.0000  0.0000
Ni  0.2500  0.2500  0.2500
Ni  0.7500  0.7500  0.7500
In  0.5000  0.5000  0.5000

SG: Fm-3m
ΔE_f in eV per atom: 1.2301

Computed V (Å³ per atom) in order:
21.32 11.79